The following is a DFT calculation (GGA+U) of a geometry-optimized Mn2GeAuO structure.

Cell: 4.2169 4.6078 4.2169 Å, 90.00 90.00 90.00°
Site moments in Bohr magnetons follow the coordinates.
Atoms (fractional coordinates):
Mn 0.5000 0.0000 0.0000  4.44
Mn 0.0000 0.0000 0.5000  4.49
Ge 0.0000 0.5000 0.0000  -0.06
O 0.0000 0.0000 0.0000  0.08
Au 0.5000 0.5000 0.5000  0.01

Values from the calculation:
* E: -5.87 eV/atom
* magnetization: 1.8244 μB/atom